Record 1
Material: NbRhIN2
Method: DFT, PBE
State: optimized geometry

Properties
- Space group: P4/mmm
- Raw total energy: -31.960 eV per formula unit
- Volume: 96.5 Å³/f.u.
- Formation energy from raw total energies: 0.73 eV per atom
- Density of states at the Fermi level: 0.738 states/eV per atom

Lattice parameters (Å, degrees): 3.9914 3.9914 6.0579 90.00 90.00 90.00
Atoms (fractional coordinates):
Nb 0.0000 0.0000 0.0000
Rh 0.5000 0.5000 0.5000
I 0.0000 0.0000 0.5000
N 0.0000 0.5000 0.0000
N 0.5000 0.0000 0.0000

---

Record 2
Material: Ac3Ag3Hg
Method: DFT, PBE
State: optimized geometry

Properties
- Space group: Imm2
- Raw total energy: -23.370 eV per formula unit
- Volume: 214.3 Å³/f.u.
- Density of states at the Fermi level: 0.669 states/eV per atom

Lattice parameters (Å, degrees): 11.1931 11.1931 11.1931 158.99 154.76 33.07
Atoms (fractional coordinates):
Ac 0.0000 0.0000 0.0000
Ac 0.3789 0.3789 0.0000
Ac 0.6847 0.1847 0.5000
Ag 0.1205 0.6205 0.5000
Ag 0.5487 0.5487 0.0000
Ag 0.8303 0.8303 0.0000
Hg 0.2534 0.7534 0.5000

---

Record 3
Material: Mn4Tc
Method: DFT, PBE
State: optimized geometry

Properties
- Space group: I4/mmm
- Raw total energy: -44.901 eV per formula unit
- Volume: 61.7 Å³/f.u.
- Density of states at the Fermi level: 1.398 states/eV per atom

Lattice parameters (Å, degrees): 5.4797 5.4797 5.4797 142.09 142.09 54.70
Atoms (fractional coordinates):
Mn 0.1066 0.1066 0.0000
Mn 0.2500 0.7500 0.5000
Mn 0.7500 0.2500 0.5000
Mn 0.8934 0.8934 0.0000
Tc 0.5000 0.5000 0.0000

---

Record 4
Material: Nd4Sm3Co4
Method: DFT, PBE
State: optimized geometry

Properties
- Space group: Immm
- Raw total energy: -61.105 eV per formula unit
- Volume: 266.6 Å³/f.u.
- Density of states at the Fermi level: 0.968 states/eV per atom

Lattice parameters (Å, degrees): 9.3236 9.3236 9.3236 156.96 122.22 63.03
Atoms (fractional coordinates):
Nd 0.0216 0.8357 0.1859
Nd 0.3501 0.1643 0.1859
Nd 0.6499 0.8357 0.8141
Nd 0.9784 0.1643 0.8141
Sm 0.0000 0.5000 0.5000
Sm 0.3985 0.3985 0.0000
Sm 0.6015 0.6015 0.0000
Co 0.2520 0.7520 0.5000
Co 0.2821 0.0000 0.2821
Co 0.7179 0.0000 0.7179
Co 0.7480 0.2480 0.5000

---

Record 5
Material: Sr3MgSe
Method: DFT, PBE
State: optimized geometry

Properties
- Space group: Pm-3m
- Raw total energy: -13.420 eV per formula unit
- Volume: 215.1 Å³/f.u.
- Formation energy from raw total energies: -0.66 eV per atom
- Density of states at the Fermi level: 1.092 states/eV per atom

Lattice parameters (Å, degrees): 5.9920 5.9920 5.9920 90.00 90.00 90.00
Atoms (fractional coordinates):
Sr 0.0000 0.0000 0.5000
Sr 0.0000 0.5000 0.0000
Sr 0.5000 0.0000 0.0000
Mg 0.5000 0.5000 0.5000
Se 0.0000 0.0000 0.0000

---

Record 6
Material: Th3Ge6Pd20
Method: DFT, PBE
State: optimized geometry

Properties
- Space group: Fm-3m
- Raw total energy: -173.512 eV per formula unit
- Volume: 499.4 Å³/f.u.
- Density of states at the Fermi level: 0.357 states/eV per atom

Lattice parameters (Å, degrees): 8.9054 8.9054 8.9054 60.00 60.00 60.00
Atoms (fractional coordinates):
Th 0.0000 0.0000 0.0000
Th 0.2500 0.2500 0.2500
Th 0.7500 0.7500 0.7500
Ge 0.2689 0.2689 0.7311
Ge 0.2689 0.7311 0.2689
Ge 0.2689 0.7311 0.7311
Ge 0.7311 0.2689 0.2689
Ge 0.7311 0.2689 0.7311
Ge 0.7311 0.7311 0.2689
Pd 0.0000 0.0000 0.3478
Pd 0.0000 0.0000 0.6522
Pd 0.0000 0.3478 0.0000
Pd 0.0000 0.3478 0.6522
Pd 0.0000 0.6522 0.0000
Pd 0.0000 0.6522 0.3478
Pd 0.1444 0.6185 0.6185
Pd 0.3478 0.0000 0.0000
Pd 0.3478 0.0000 0.6522
Pd 0.3478 0.6522 0.0000
Pd 0.3815 0.3815 0.3815
Pd 0.3815 0.3815 0.8556
Pd 0.3815 0.8556 0.3815
Pd 0.6185 0.1444 0.6185
Pd 0.6185 0.6185 0.1444
Pd 0.6185 0.6185 0.6185
Pd 0.6522 0.0000 0.0000
Pd 0.6522 0.0000 0.3478
Pd 0.6522 0.3478 0.0000
Pd 0.8556 0.3815 0.3815

---

Record 7
Material: Pu2ScU3P6
Method: DFT, PBE
State: optimized geometry

Properties
- Space group: C2/m
- Raw total energy: -114.578 eV per formula unit
- Volume: 255.4 Å³/f.u.
- Density of states at the Fermi level: 2.750 states/eV per atom

Lattice parameters (Å, degrees): 6.7555 6.7555 6.8447 99.48 99.48 119.99
Atoms (fractional coordinates):
Pu 0.1662 0.8338 0.0000
Pu 0.8338 0.1662 0.0000
Sc 0.5000 0.5000 0.0000
U 0.0000 0.0000 0.5000
U 0.3319 0.6681 0.5000
U 0.6681 0.3319 0.5000
P 0.0904 0.4173 0.7513
P 0.2570 0.2570 0.2509
P 0.4173 0.0904 0.7513
P 0.5827 0.9096 0.2487
P 0.7430 0.7430 0.7491
P 0.9096 0.5827 0.2487

---

Record 8
Material: ThCuPd6
Method: DFT, PBE
State: optimized geometry

Properties
- Space group: P4/mmm
- Raw total energy: -46.905 eV per formula unit
- Volume: 134.5 Å³/f.u.
- Density of states at the Fermi level: 0.751 states/eV per atom

Lattice parameters (Å, degrees): 5.7701 5.7701 4.0392 90.00 90.00 90.00
Atoms (fractional coordinates):
Th 0.0000 0.0000 0.0000
Cu 0.5000 0.5000 0.0000
Pd 0.0000 0.5000 0.0000
Pd 0.2613 0.2613 0.5000
Pd 0.2613 0.7387 0.5000
Pd 0.5000 0.0000 0.0000
Pd 0.7387 0.2613 0.5000
Pd 0.7387 0.7387 0.5000

---

Record 9
Material: Ce2ThAl2Ge2
Method: DFT, PBE
State: optimized geometry

Properties
- Space group: R-3m
- Raw total energy: -38.578 eV per formula unit
- Volume: 157.0 Å³/f.u.
- Density of states at the Fermi level: 1.688 states/eV per atom

Lattice parameters (Å, degrees): 9.7777 9.7777 9.7777 25.89 25.89 25.89
Atoms (fractional coordinates):
Ce 0.1384 0.1384 0.1384
Ce 0.8616 0.8616 0.8616
Th 0.0000 0.0000 0.0000
Al 0.4072 0.4072 0.4072
Al 0.5928 0.5928 0.5928
Ge 0.2625 0.2625 0.2625
Ge 0.7375 0.7375 0.7375

---

Record 10
Material: NdP2Pd8
Method: DFT, PBE
State: optimized geometry

Properties
- Space group: P4/mmm
- Raw total energy: -60.291 eV per formula unit
- Volume: 221.9 Å³/f.u.
- Density of states at the Fermi level: 0.292 states/eV per atom

Lattice parameters (Å, degrees): 5.5195 5.5195 7.2852 90.00 90.00 90.00
Atoms (fractional coordinates):
Nd 0.0000 0.0000 0.0000
P 0.0000 0.5000 0.5000
P 0.5000 0.0000 0.5000
Pd 0.2528 0.2528 0.3045
Pd 0.2528 0.2528 0.6955
Pd 0.2528 0.7472 0.3045
Pd 0.2528 0.7472 0.6955
Pd 0.7472 0.2528 0.3045
Pd 0.7472 0.2528 0.6955
Pd 0.7472 0.7472 0.3045
Pd 0.7472 0.7472 0.6955

---

Record 11
Material: Ac6Pd4Au
Method: DFT, PBE
State: optimized geometry

Properties
- Space group: Cm
- Raw total energy: -56.346 eV per formula unit
- Volume: 360.0 Å³/f.u.
- Density of states at the Fermi level: 0.677 states/eV per atom

Lattice parameters (Å, degrees): 6.2361 6.2361 9.5610 100.16 100.16 85.98
Atoms (fractional coordinates):
Ac 0.0000 0.0000 0.0000
Ac 0.0846 0.5778 0.3266
Ac 0.4179 0.9192 0.6726
Ac 0.5058 0.5058 0.0233
Ac 0.5778 0.0846 0.3266
Ac 0.9192 0.4179 0.6726
Pd 0.9997 0.4999 0.9996
Pd 0.0996 0.0996 0.3941
Pd 0.4999 0.9997 0.9996
Pd 0.5961 0.5961 0.3883
Au 0.9026 0.9026 0.6128

---

Record 12
Material: Rb3Er3UTe8
Method: DFT, PBE
State: optimized geometry

Properties
- Space group: C2/m
- Raw total energy: -71.331 eV per formula unit
- Volume: 596.1 Å³/f.u.
- Formation energy from raw total energies: -1.22 eV per atom
- Density of states at the Fermi level: 0.347 states/eV per atom

Lattice parameters (Å, degrees): 8.8880 8.8880 10.1087 116.07 116.07 60.05
Atoms (fractional coordinates):
Rb 0.0000 0.0000 0.0000
Rb 0.0000 0.5000 0.0000
Rb 0.5000 0.0000 0.0000
Er 0.0000 0.5000 0.5000
Er 0.5000 0.0000 0.5000
Er 0.5000 0.5000 0.5000
U 0.0000 0.0000 0.5000
Te 0.2329 0.2329 0.6960
Te 0.2329 0.7302 0.6960
Te 0.2675 0.2675 0.3028
Te 0.2698 0.7671 0.3040
Te 0.7302 0.2329 0.6960
Te 0.7325 0.7325 0.6972
Te 0.7671 0.2698 0.3040
Te 0.7671 0.7671 0.3040

---

Record 13
Material: Ta2CoCu2
Method: DFT, PBE
State: optimized geometry

Properties
- Space group: P4/mbm
- Raw total energy: -37.908 eV per formula unit
- Volume: 72.1 Å³/f.u.
- Density of states at the Fermi level: 1.071 states/eV per atom

Lattice parameters (Å, degrees): 6.4353 6.4353 3.4827 90.00 90.00 90.00
Atoms (fractional coordinates):
Ta 0.1753 0.3247 0.0000
Ta 0.3247 0.8247 0.0000
Ta 0.6753 0.1753 0.0000
Ta 0.8247 0.6753 0.0000
Co 0.0000 0.0000 0.5000
Co 0.5000 0.5000 0.5000
Cu 0.1291 0.6291 0.5000
Cu 0.3709 0.1291 0.5000
Cu 0.6291 0.8709 0.5000
Cu 0.8709 0.3709 0.5000

---

Record 14
Material: BeTc2P
Method: DFT, PBE
State: optimized geometry

Properties
- Space group: P4/mmm
- Raw total energy: -30.727 eV per formula unit
- Volume: 47.9 Å³/f.u.
- Density of states at the Fermi level: 0.940 states/eV per atom

Lattice parameters (Å, degrees): 4.0648 4.0648 2.9019 90.00 90.00 90.00
Atoms (fractional coordinates):
Be 0.0000 0.0000 0.0000
Tc 0.0000 0.5000 0.5000
Tc 0.5000 0.0000 0.5000
P 0.5000 0.5000 0.0000

---

Record 15
Material: ScPdSe3
Method: DFT, PBE
State: optimized geometry

Properties
- Space group: Pm-3m
- Raw total energy: -22.298 eV per formula unit
- Volume: 132.3 Å³/f.u.
- Formation energy from raw total energies: -0.06 eV per atom
- Density of states at the Fermi level: 1.761 states/eV per atom

Lattice parameters (Å, degrees): 5.0955 5.0955 5.0955 90.00 90.00 90.00
Atoms (fractional coordinates):
Sc 0.0000 0.0000 0.0000
Pd 0.5000 0.5000 0.5000
Se 0.0000 0.0000 0.5000
Se 0.0000 0.5000 0.0000
Se 0.5000 0.0000 0.0000

---

Record 16
Material: LiBi6Pd5
Method: DFT, PBE
State: optimized geometry

Properties
- Space group: C2/m
- Raw total energy: -53.745 eV per formula unit
- Volume: 281.9 Å³/f.u.
- Density of states at the Fermi level: 0.481 states/eV per atom

Lattice parameters (Å, degrees): 6.5636 6.5636 7.9636 97.30 97.30 121.67
Atoms (fractional coordinates):
Li 0.0000 0.0000 0.0000
Bi 0.1006 0.4799 0.2869
Bi 0.3063 0.3063 0.7791
Bi 0.4799 0.1006 0.2869
Bi 0.5201 0.8994 0.7131
Bi 0.6937 0.6937 0.2209
Bi 0.8994 0.5201 0.7131
Pd 0.1230 0.8770 0.5000
Pd 0.2981 0.7019 0.0000
Pd 0.5000 0.5000 0.5000
Pd 0.7019 0.2981 0.0000
Pd 0.8770 0.1230 0.5000

---

Record 17
Material: SrTcN3
Method: DFT, PBE
State: optimized geometry

Properties
- Space group: P1
- Raw total energy: -38.377 eV per formula unit
- Volume: 85.0 Å³/f.u.
- Formation energy from raw total energies: -0.27 eV per atom
- Density of states at the Fermi level: 0.000 states/eV per atom

Lattice parameters (Å, degrees): 3.9932 6.2094 7.0622 98.79 95.60 98.33
Atoms (fractional coordinates):
Sr 0.0000 0.0000 0.0000
Sr 0.4515 0.5940 0.3155
Tc 0.4112 0.2821 0.7088
Tc 0.7869 0.1447 0.4420
N 0.0145 0.8762 0.3746
N 0.2929 0.0259 0.4545
N 0.4329 0.7223 0.9651
N 0.4558 0.5476 0.8663
N 0.8741 0.3097 0.2618
N 0.9023 0.2311 0.7202

---

Record 18
Material: Y2BeSi
Method: DFT, PBE
State: optimized geometry

Properties
- Space group: Pmmm
- Raw total energy: -22.124 eV per formula unit
- Volume: 93.4 Å³/f.u.
- Formation energy from raw total energies: -0.01 eV per atom
- Density of states at the Fermi level: 1.138 states/eV per atom

Lattice parameters (Å, degrees): 3.4758 4.6565 5.7687 90.00 90.00 90.00
Atoms (fractional coordinates):
Y 0.0000 0.0000 0.0000
Y 0.5000 0.5000 0.5000
Be 0.0000 0.0000 0.5000
Si 0.5000 0.5000 0.0000

---

Record 19
Material: CoAgPS2
Method: DFT, PBE
State: optimized geometry

Properties
- Space group: P4/mmm
- Raw total energy: -16.734 eV per formula unit
- Volume: 110.2 Å³/f.u.
- Formation energy from raw total energies: 1.38 eV per atom
- Density of states at the Fermi level: 1.150 states/eV per atom

Lattice parameters (Å, degrees): 4.8636 4.8636 4.6582 90.00 90.00 90.00
Atoms (fractional coordinates):
Co 0.0000 0.0000 0.0000
Ag 0.5000 0.5000 0.5000
P 0.5000 0.5000 0.0000
S 0.0000 0.5000 0.5000
S 0.5000 0.0000 0.5000

---

Record 20
Material: InSeO4F
Method: DFT, PBE
State: optimized geometry

Properties
- Space group: C2/m
- Raw total energy: -36.068 eV per formula unit
- Volume: 110.1 Å³/f.u.
- Formation energy from raw total energies: -1.16 eV per atom
- Density of states at the Fermi level: 0.000 states/eV per atom

Lattice parameters (Å, degrees): 5.5268 5.5268 8.5411 113.11 113.11 77.56
Atoms (fractional coordinates):
In 0.0412 0.0412 0.2154
In 0.9588 0.9588 0.7846
Se 0.3367 0.3367 0.6873
Se 0.6633 0.6633 0.3127
O 0.1413 0.1413 0.6815
O 0.2779 0.6543 0.7967
O 0.2917 0.2917 0.4709
O 0.3457 0.7221 0.2033
O 0.6543 0.2779 0.7967
O 0.7083 0.7083 0.5291
O 0.7221 0.3457 0.2033
O 0.8587 0.8587 0.3185
F 0.1719 0.1719 0.0589
F 0.8281 0.8281 0.9411